[1]
VASP calculation (PBE) on a geometry-optimized Ce2AgIr structure.

## Properties
The calculation puts the formation energy at -0.417 eV per atom. For the density of states at the Fermi level, the calculation gives 9.367 states/eV/f.u. The calculation puts the total energy at -6.3118 eV/atom.

Unit cell a=3.4954 b=7.2515 c=8.2187 alpha=63.89 beta=89.98 gamma=90.00
Each line ends with the local moment (μB).
Element x y z (fractional)
Ce  0.7821  0.5660  0.5041  0.37
Ce  0.7823  0.3268  0.9810  0.55
Ce  0.7814  0.0585  0.5191  0.70
Ce  0.7825  0.8629  0.9091  0.47
Ir  0.2821  0.6653  0.7350  -0.06
Ir  0.2822  0.2351  0.7344  -0.06
Ag  0.2822  0.9295  0.2201  0.01
Ag  0.2823  0.4858  0.2200  0.01

[2]
VASP calculation (PBE) on a geometry-optimized Ce2AgIr structure.

## Properties
The calculation puts the formation energy at -0.407 eV per atom. For the density of states at the Fermi level, the calculation gives 10.548 states/eV/f.u. The calculation puts the total energy at -6.3022 eV/atom.

Unit cell a=3.5372 b=3.5372 c=7.5236 alpha=90.00 beta=90.00 gamma=90.00
Each line ends with the local moment (μB).
Element x y z (fractional)
Ir  0.5000  0.5000  0.0000  -0.08
Ce  0.0000  0.0000  0.7800  0.68
Ce  0.0000  0.0000  0.2200  0.68
Ag  0.5000  0.5000  0.5000  0.01

[3]
VASP calculation (PBE) on a geometry-optimized Ce8AgIr2 structure.

## Properties
The calculation puts the formation energy at -0.240 eV per atom. For the density of states at the Fermi level, the calculation gives 30.557 states/eV/f.u. The calculation puts the total energy at -6.4256 eV/atom.

Unit cell a=5.5447 b=7.7170 c=7.7170 alpha=115.25 beta=98.73 gamma=98.73
Each line ends with the local moment (μB).
Element x y z (fractional)
Ce  0.6754  0.4124  0.4124  0.23
Ce  0.3246  0.5876  0.5876  0.23
Ce  0.9319  0.6893  0.9003  0.26
Ce  0.0681  0.3107  0.0997  0.26
Ce  0.5000  0.7563  0.2437  0.53
Ce  0.9319  0.9003  0.6893  0.26
Ce  0.0681  0.0997  0.3107  0.26
Ce  0.5000  0.2437  0.7563  0.53
Ir  0.0000  0.7097  0.2903  -0.03
Ir  0.0000  0.2903  0.7097  -0.03
Ag  0.5000  0.0000  0.0000  0.00

[4]
VASP calculation (PBE) on a geometry-optimized CeAgIr structure.

## Properties
The calculation puts the formation energy at -0.390 eV per atom. For the density of states at the Fermi level, the calculation gives 3.231 states/eV/f.u. The calculation puts the total energy at -6.2721 eV/atom.

Unit cell a=5.0154 b=5.4816 c=5.2366 alpha=100.21 beta=90.00 gamma=117.22
Element x y z (fractional)
Ir  0.2004  0.4007  0.3219
Ir  0.7996  0.5993  0.6781
Ag  0.4434  0.8867  0.7292
Ag  0.5566  0.1133  0.2708
Ce  0.8640  0.7279  0.1898
Ce  0.1360  0.2721  0.8102

[5]
VASP calculation (PBE) on a geometry-optimized Ce12AgIr6 structure.

## Properties
The calculation puts the formation energy at -0.325 eV per atom. For the density of states at the Fermi level, the calculation gives 49.958 states/eV/f.u. The calculation puts the total energy at -7.0210 eV/atom.

Unit cell a=8.5899 b=8.5899 c=8.5899 alpha=108.64 beta=108.64 gamma=108.64
Each line ends with the local moment (μB).
Element x y z (fractional)
Ce  0.1199  0.8801  0.5000  0.69
Ce  0.1199  0.5000  0.8801  0.69
Ce  0.4046  0.4046  0.1409  0.71
Ce  0.5000  0.8801  0.1199  0.69
Ce  0.5954  0.5954  0.8591  0.71
Ce  0.5954  0.8591  0.5954  0.71
Ce  0.1409  0.4046  0.4046  0.71
Ce  0.8801  0.1199  0.5000  0.69
Ce  0.5000  0.1199  0.8801  0.69
Ce  0.8591  0.5954  0.5954  0.71
Ce  0.8801  0.5000  0.1199  0.69
Ce  0.4046  0.1409  0.4046  0.71
Ir  0.7278  0.3165  0.7278  -0.05
Ir  0.3165  0.7278  0.7278  -0.05
Ir  0.7278  0.7278  0.3165  -0.05
Ir  0.2722  0.2722  0.6835  -0.05
Ir  0.2722  0.6835  0.2722  -0.05
Ir  0.6835  0.2722  0.2722  -0.05
Ag  0.0000  0.0000  0.0000  0.02

[6]
VASP calculation (PBE) on a geometry-optimized Ce2AgIr structure.

## Properties
The calculation puts the formation energy at -0.384 eV per atom. For the density of states at the Fermi level, the calculation gives 11.928 states/eV/f.u. The calculation puts the total energy at -6.2792 eV/atom.

Unit cell a=4.1019 b=4.1019 c=7.7035 alpha=74.56 beta=74.56 gamma=60.00
Each line ends with the local moment (μB).
Element x y z (fractional)
Ce  0.7368  0.7368  0.7897  0.60
Ce  0.2632  0.2632  0.2103  0.60
Ag  0.5000  0.5000  0.5000  0.01
Ir  0.0000  0.0000  0.0000  -0.06

[7]
VASP calculation (PBE) on a geometry-optimized Ce2AgIr structure.

## Properties
The calculation puts the formation energy at -0.386 eV per atom. For the density of states at the Fermi level, the calculation gives 11.304 states/eV/f.u. The calculation puts the total energy at -6.2812 eV/atom.

Unit cell a=4.1291 b=4.1291 c=7.6555 alpha=74.36 beta=74.36 gamma=60.01
Each line ends with the local moment (μB).
Element x y z (fractional)
Ce  0.0693  0.0693  0.7921  0.59
Ce  0.2639  0.2639  0.2082  0.63
Ag  0.5008  0.5008  0.4978  0.00
Ir  0.6661  0.6661  0.0018  -0.05

[8]
VASP calculation (PBE) on a geometry-optimized CeLuAgIr structure.

## Properties
The calculation puts the formation energy at -0.501 eV per atom. For the density of states at the Fermi level, the calculation gives 5.779 states/eV/f.u. The calculation puts the total energy at -6.0425 eV/atom.

Unit cell a=4.9855 b=4.9855 c=4.9855 alpha=60.00 beta=60.00 gamma=60.00
Each line ends with the local moment (μB).
Element x y z (fractional)
Ag  0.5000  0.5000  0.5000  0.00
Ce  0.7500  0.7500  0.7500  0.38
Ir  0.0000  0.0000  0.0000  -0.03
Lu  0.2500  0.2500  0.2500  0.01